[1]
First-principles (PBE) data for a geometry-optimized Pu2ThZn2Sn2 structure, as listed in Alexandria via LeMat-Bulk.

a = 4.6568 Å, b = 4.6568 Å, c = 27.2195 Å
α = 90.00°, β = 90.00°, γ = 120.00°
Space group R-3m (No. 166, hexagonal axes)
Asymmetric unit:
Pu 0.0000 0.0000 0.1429
Th 0.0000 0.0000 0.0000
Zn 0.0000 0.0000 0.4226
Sn 0.0000 0.0000 0.2643

Summary:
- Energy of formation: -16.98 kJ/mol of atoms

=====

[2]
First-principles (PBE) data for a geometry-optimized PuThZnSn structure, as listed in Alexandria via LeMat-Bulk.

a = 7.484 Å, b = 7.484 Å, c = 7.484 Å
α = 90.00°, β = 90.00°, γ = 90.00°
Space group F-43m (No. 216)
Asymmetric unit:
Pu 0.000 0.000 0.000
Th 0.000 0.000 0.500
Zn 0.250 0.250 0.750
Sn 0.250 0.250 0.250

Summary:
- Energy of formation: -20.48 kJ/mol of atoms